Entry 1:
# Zn2CoHRh

Crystalline Zn2CoHRh at its relaxed geometry (GGA-PBE, the Alexandria database).

Output
Symmetry: No. 123
Total DFT energy (no corrections): -4.155 eV/atom

Lattice parameters (Å, degrees): 4.197 4.197 3.106 90.00 90.00 90.00
Positions (direct):
Rh 0.500 0.500 0.500
H 0.000 0.000 0.000
Zn 0.000 0.500 0.000
Zn 0.500 0.000 0.000
Co 0.000 0.000 0.500

---

Entry 2:
# ZnCoHRh2

Crystalline ZnCoHRh2 at its relaxed geometry (GGA-PBE, the Alexandria database).

Output
Symmetry: No. 123
Energy relative to the lowest polymorph listed for this composition: 129 meV/atom

Lattice parameters (Å, degrees): 3.899 3.899 3.740 90.00 90.00 90.00
Positions (direct):
Co 0.500 0.500 0.500
Rh 0.500 0.000 0.000
Rh 0.000 0.500 0.000
H 0.000 0.000 0.000
Zn 0.000 0.000 0.500

---

Entry 3:
# ZnCoHRh2

Crystalline ZnCoHRh2 at its relaxed geometry (GGA-PBE, the Alexandria database).

Output
Symmetry: No. 123
Energy relative to the lowest polymorph listed for this composition: 0 meV/atom

Lattice parameters (Å, degrees): 3.918 3.918 3.587 90.00 90.00 90.00
Positions (direct):
Zn 0.500 0.500 0.500
Co 0.000 0.000 0.500
Rh 0.500 0.000 0.000
Rh 0.000 0.500 0.000
H 0.000 0.000 0.000